1.
First-principles (PBE-GGA) data for a relaxed CdHSBr crystal, as listed in Alexandria via LeMat-Bulk.

Cell: 7.5751 4.3670 6.6314 Å, 90.00 112.66 90.00°
Last column: nearest neighbours and their distance in Å.
Space group Cm (No. 8)
One atom of each set of equivalent atoms:
Cd  0.0000  0.0000  0.0000 (multiplicity 2)  1 Br 2.56, 3 S 2.62
H  0.4484  0.0000  0.3392 (multiplicity 2)  1 S 1.36
S  0.3727  0.0000  0.1167 (multiplicity 2)  1 H 1.36
Br  0.3625  0.5000  0.5823 (multiplicity 2)  1 Cd 2.56

Computed properties:
**Calculated total energy**: -12.04 eV per formula unit
**M_tot**: 0.000 Bohr magnetons per cell

=====

2.
First-principles (PBE-GGA) data for a relaxed CdH2SeBr2 crystal, as listed in Alexandria via LeMat-Bulk.

Cell: 11.2700 8.3181 6.6578 Å, 90.00 90.00 90.00°
Last column: nearest neighbours and their distance in Å.
Space group Cmc2_1 (No. 36)
One atom of each set of equivalent atoms:
Cd  0.0000  0.0907  0.0000 (multiplicity 4)  4 Br 2.74-2.80, 1 Se 2.76
H  0.0937  0.2897  0.3802 (multiplicity 8)  1 Se 1.50
Se  0.0000  0.3579  0.2451 (multiplicity 4)  2 H 1.50
Br  0.1620  0.1123  0.6941 (multiplicity 8)  1 H 2.67, 2 Cd 2.74-2.80

Computed properties:
**DOS(E_F)**: 0.000 states/eV/cell
**Calculated total energy**: -16.96 eV per formula unit
**M_tot**: 0.000 Bohr magnetons per cell

=====

3.
First-principles (PBE-GGA) data for a relaxed CdHSe2Br crystal, as listed in Alexandria via LeMat-Bulk.

Cell: 4.0275 4.0275 6.9478 Å, 90.00 90.00 90.00°
Last column: nearest neighbours and their distance in Å.
Space group P4/mmm (No. 123)
One atom of each set of equivalent atoms:
Cd  0.0000  0.0000  0.0000 (multiplicity 1)  4 Br 2.85
H  0.5000  0.5000  0.5000 (multiplicity 1)  4 Se 2.01
Se  0.0000  0.5000  0.5000 (multiplicity 2)  2 H 2.01
Br  0.5000  0.5000  0.0000 (multiplicity 1)  4 Cd 2.85

Computed properties:
**DOS(E_F)**: 2.939 states/eV/cell
**Calculated total energy**: -12.03 eV per formula unit
**Energy above the most stable polymorph in this dataset**: 0 meV/atom
**M_tot**: 0.000 Bohr magnetons per cell

=====

4.
First-principles (PBE-GGA) data for a relaxed CdHSe2Br crystal, as listed in Alexandria via LeMat-Bulk.

Cell: 5.4368 5.4368 5.6236 Å, 90.00 90.00 90.00°
Last column: nearest neighbours and their distance in Å.
Space group P4/mmm (No. 123)
One atom of each set of equivalent atoms:
Cd  0.0000  0.0000  0.0000 (multiplicity 1)  4 Se 2.72, 2 Br 2.81
H  0.5000  0.5000  0.5000 (multiplicity 1)  4 Br 3.84, 8 Se 3.91
Se  0.0000  0.5000  0.0000 (multiplicity 2)  2 Cd 2.72
Br  0.0000  0.0000  0.5000 (multiplicity 1)  2 Cd 2.81

Computed properties:
**DOS(E_F)**: 2.499 states/eV/cell
**Calculated total energy**: -9.22 eV per formula unit
**Energy above the most stable polymorph in this dataset**: 561 meV/atom
**M_tot**: 3.948 Bohr magnetons per cell

=====

5.
First-principles (PBE-GGA) data for a relaxed CdSiH2Br crystal, as listed in Alexandria via LeMat-Bulk.

Cell: 3.9455 3.9455 5.5400 Å, 90.00 90.00 90.00°
Last column: nearest neighbours and their distance in Å.
Space group P4/mmm (No. 123)
One atom of each set of equivalent atoms:
Cd  0.0000  0.0000  0.0000 (multiplicity 1)  4 Si 2.79
Si  0.5000  0.5000  0.0000 (multiplicity 1)  2 Br 2.77, 4 Cd 2.79
H  0.0000  0.5000  0.5000 (multiplicity 2)  2 Br 1.97
Br  0.5000  0.5000  0.5000 (multiplicity 1)  4 H 1.97

Computed properties:
**DOS(E_F)**: 1.916 states/eV/cell
**Calculated total energy**: -10.93 eV per formula unit
**M_tot**: 0.000 Bohr magnetons per cell

=====

6.
First-principles (PBE-GGA) data for a relaxed TlCdHBr2 crystal, as listed in Alexandria via LeMat-Bulk.

Cell: 5.8276 5.8276 3.8146 Å, 90.00 90.00 90.00°
Last column: nearest neighbours and their distance in Å.
Space group P4/mmm (No. 123)
One atom of each set of equivalent atoms:
Tl  0.0000  0.0000  0.0000 (multiplicity 1)  8 Br 3.48, 2 Tl 3.81
Cd  0.5000  0.5000  0.5000 (multiplicity 1)  2 H 1.91
H  0.5000  0.5000  0.0000 (multiplicity 1)  2 Cd 1.91
Br  0.0000  0.5000  0.5000 (multiplicity 2)  2 Cd 2.91

Computed properties:
**DOS(E_F)**: 0.172 states/eV/cell
**Calculated total energy**: -12.47 eV per formula unit
**M_tot**: 0.000 Bohr magnetons per cell

=====

7.
First-principles (PBE-GGA) data for a relaxed VCdHBr2 crystal, as listed in Alexandria via LeMat-Bulk.

Cell: 5.3208 5.3208 3.7011 Å, 90.00 90.00 90.00°
Last column: nearest neighbours and their distance in Å.
Space group P4/mmm (No. 123)
One atom of each set of equivalent atoms:
V  0.0000  0.0000  0.0000 (multiplicity 1)  2 H 1.85
Cd  0.5000  0.5000  0.5000 (multiplicity 1)  8 Br 3.24
H  0.0000  0.0000  0.5000 (multiplicity 1)  2 V 1.85
Br  0.0000  0.5000  0.0000 (multiplicity 2)  2 V 2.66

Computed properties:
**DOS(E_F)**: 3.820 states/eV/cell
**Calculated total energy**: -17.38 eV per formula unit
**M_tot**: 2.670 Bohr magnetons per cell

=====

8.
First-principles (PBE-GGA) data for a relaxed HfCdBr2 crystal, as listed in Alexandria via LeMat-Bulk.

Cell: 9.3990 9.3990 6.0272 Å, 90.00 90.00 90.00°
Last column: nearest neighbours and their distance in Å.
Space group I-42d (No. 122)
One atom of each set of equivalent atoms:
Hf  0.0000  0.0000  0.0000 (multiplicity 4)  4 Br 2.67
Cd  0.0000  0.0000  0.5000 (multiplicity 4)  2 Hf 3.01
Br  0.1097  0.2500  0.1250 (multiplicity 8)  2 Hf 2.67

Computed properties:
**DOS(E_F)**: 15.433 states/eV/cell
**Calculated total energy**: -15.39 eV per formula unit
**Energy above the most stable polymorph in this dataset**: 354 meV/atom
**Energy relative to the elements, uncorrected**: -114 kJ/mol of formula units
**M_tot**: 3.635 Bohr magnetons per cell

=====

- Look up the calculated total energy of the seventh one.
  -17.38 eV per formula unit

=====

- Which formula does entry 6 have?
  TlCdHBr2